PrDy2Th3 | PBE-GGA | optimized geometry

Results
Energy of formation   0.0308 eV/atom

Cell: 15.234 5.058 11.368 Å, 90.00 116.51 90.00°
Space group C2/m (No. 12)
Symmetry-distinct sites (fractional):
Pr 0.128 0.000 0.131
Dy 0.041 0.500 0.867
Dy 0.205 0.000 0.868
Th 0.042 0.000 0.378
Th 0.123 0.500 0.621
Th 0.210 0.500 0.379

=====

LaYO3 | PBE-GGA | optimized geometry

Results
Formation energy from raw total energies   -1493 kJ/mol of formula units

Cell: 6.020 13.032 4.176 Å, 90.00 90.00 90.00°
Space group Cmmm (No. 65)
Symmetry-distinct sites (fractional):
La 0.000 0.161 0.000
Y 0.000 0.380 0.500
O 0.000 0.331 0.000
O 0.235 0.000 0.500
O 0.250 0.250 0.500

=====

AsPtSCl2 | PBE-GGA | optimized geometry

Results
Formation energy from raw total energies   203 kJ/mol of formula units

Cell: 4.830 4.830 4.776 Å, 90.00 90.00 90.00°
Space group P4/mmm (No. 123)
Symmetry-distinct sites (fractional):
As 0.000 0.000 0.000
Pt 0.500 0.500 0.500
S 0.500 0.500 0.000
Cl 0.000 0.500 0.500

=====

TiCdCoCu | PBE-GGA | optimized geometry

Results
Energy of formation   0.0101 eV/atom

Cell: 6.156 6.156 6.156 Å, 90.00 90.00 90.00°
Space group F-43m (No. 216)
Symmetry-distinct sites (fractional):
Ti 0.000 0.000 0.000
Cd 0.000 0.000 0.500
Co 0.250 0.250 0.750
Cu 0.250 0.250 0.250

=====

LaSn4Pd2 | PBE-GGA | optimized geometry

Results
Energy of formation   -0.6208 eV/atom

Cell: 19.123 4.669 7.346 Å, 90.00 90.00 90.00°
Space group Pnma (No. 62)
Symmetry-distinct sites (fractional):
La 0.141 0.250 0.004
Sn 0.032 0.750 0.857
Sn 0.066 0.250 0.485
Sn 0.181 0.750 0.307
Sn 0.196 0.750 0.726
Pd 0.035 0.750 0.240
Pd 0.211 0.250 0.527

=====

La3Ho3ErS8 | PBE-GGA | optimized geometry

Results
Formation energy from raw total energies   -3042 kJ/mol of formula units

Cell: 7.9188 7.9188 20.0586 Å, 90.00 90.00 120.00°
Space group R-3m (No. 166, hexagonal axes)
Symmetry-distinct sites (fractional):
La 0.0000 0.5000 0.0000
Ho 0.0000 0.5000 0.5000
Er 0.0000 0.0000 0.5000
S 0.0000 0.0000 0.2428
S 0.9997 0.4999 0.2430

=====

Rb5Te2N4 | PBE-GGA | optimized geometry

Results
Formation energy from raw total energies   -466 kJ/mol of formula units

Cell: 10.545 9.488 9.912 Å, 90.00 120.92 90.00°
Space group C2/m (No. 12)
Symmetry-distinct sites (fractional):
Rb 0.000 0.000 0.000
Rb 0.241 0.305 0.242
Te 0.116 0.500 0.863
N 0.016 0.000 0.370
N 0.135 0.000 0.392

=====

BaMgSb2Te | PBE-GGA | optimized geometry

Results
Formation energy from raw total energies   333 kJ/mol of formula units

Cell: 6.298 6.298 6.342 Å, 90.00 90.00 90.00°
Space group P4/mmm (No. 123)
Symmetry-distinct sites (fractional):
Ba 0.000 0.000 0.000
Mg 0.500 0.500 0.500
Sb 0.000 0.500 0.000
Te 0.000 0.000 0.500

=====

HfMg2Tc | PBE-GGA | optimized geometry

Results
Energy of formation   0.3573 eV/atom

Cell: 6.620 6.620 6.620 Å, 90.00 90.00 90.00°
Space group Fm-3m (No. 225)
Symmetry-distinct sites (fractional):
Hf 0.000 0.000 0.000
Mg 0.250 0.250 0.250
Tc 0.000 0.000 0.500

=====

BaCuIr2 | PBE-GGA | optimized geometry

Results
Energy of formation   0.6150 eV/atom

Cell: 2.982 5.372 10.321 Å, 90.00 90.00 90.00°
Space group Imm2 (No. 44)
Symmetry-distinct sites (fractional):
Ba 0.000 0.000 0.000
Cu 0.000 0.500 0.794
Ir 0.000 0.000 0.501
Ir 0.000 0.500 0.206

=====

K4Th3TiTe8 | PBE-GGA | optimized geometry

Results
Formation energy from raw total energies   -1685 kJ/mol of formula units

Cell: 8.8615 8.8615 25.2857 Å, 90.00 90.00 120.00°
Space group R-3m (No. 166, hexagonal axes)
Symmetry-distinct sites (fractional):
K 0.0000 0.0000 0.0000
K 0.0000 0.5000 0.0000
Th 0.0000 0.5000 0.5000
Ti 0.0000 0.0000 0.5000
Te 0.0000 0.0000 0.2413
Te 0.0161 0.5080 0.2366

=====

Cd12In5Sn2 | PBE-GGA | optimized geometry

Results
Energy of formation   0.0519 eV/atom

Cell: 14.161 9.406 7.154 Å, 90.00 90.13 90.00°
Space group C2/m (No. 12)
Symmetry-distinct sites (fractional):
Cd 0.058 0.000 0.181
Cd 0.103 0.234 0.889
Cd 0.170 0.500 0.597
Cd 0.194 0.258 0.299
In 0.000 0.500 0.000
In 0.129 0.000 0.581
In 0.236 0.500 0.013
Sn 0.000 0.315 0.500